1.
20
Lattice="-3.257 -4.649 3.199 2.942 -3.365 4.741 -3.888 5.667 10.913" Properties=species:S:1:pos:R:3 comment="GGA-PBE Ac2TiAlGe6, optimized geometry" e_tot_ev_per_atom=-5.1866 ef_ev_per_atom=-0.43 pbc="T T T"
Ac -1.586 -5.215 10.716
Ac -2.618 2.867 8.137
Ac -3.612 -0.749 15.143
Ac -0.592 -1.599 3.710
Ti 0.000 0.000 0.000
Ti -2.102 -1.174 9.427
Al -1.276 -2.994 7.622
Al -2.928 0.646 11.231
Ge -3.633 -3.215 8.928
Ge 0.129 -2.436 9.864
Ge -1.656 -0.393 6.987
Ge -0.570 0.867 9.925
Ge -4.333 0.088 8.989
Ge -2.547 -1.954 11.866
Ge -4.882 1.164 12.811
Ge -2.249 1.709 13.466
Ge -3.499 3.138 11.453
Ge 0.678 -3.511 6.042
Ge -1.954 -4.056 5.387
Ge -0.705 -5.485 7.401



2.
8
Lattice="7.462 0.000 0.000 0.000 7.462 0.000 3.731 3.731 2.968" Properties=species:S:1:pos:R:3 comment="GGA-PBE V2SnSb, optimized geometry" raw_formation_energy_ev_per_atom=0.5501 e_tot_ev_per_atom=-6.0405 de_polymorph_mev_per_atom=290 pbc="T T T"
Sb 0.000 0.000 0.000
Sb 7.462 3.731 1.484
Sn 3.731 3.731 0.000
Sn 3.731 7.462 1.484
V 5.653 1.866 0.742
V 1.810 5.597 0.742
V 5.597 5.541 2.226
V 9.328 9.384 2.226



3.
6
Lattice="-1.894 4.547 3.676 -5.677 -0.113 2.352 -0.819 -1.039 6.002" Properties=species:S:1:pos:R:3 comment="GGA-PBE DyHoPa4, optimized geometry" e_tot_ev_per_atom=-7.6290 ef_ev_per_atom=0.23 pbc="T T T"
Pa -4.835 2.642 4.517
Pa -2.405 2.179 6.343
Pa -5.245 2.122 7.519
Pa -4.297 -0.152 5.681
Ho 0.000 0.000 0.000
Dy -2.098 0.849 3.008



4.
19
Lattice="-3.025 2.735 5.785 7.355 1.900 0.062 0.841 7.547 -0.241" Properties=species:S:1:pos:R:3 comment="GGA-PBE Li12InAg6, optimized geometry" e_tot_ev_per_atom=-2.4450 ef_ev_per_atom=-0.19 de_polymorph_mev_per_atom=0 pbc="T T T"
Li 4.841 5.104 2.975
Li 5.151 9.863 3.774
Li 0.382 9.366 4.401
Li 0.330 7.077 2.631
Li 0.020 2.318 1.832
Li 4.789 2.815 1.204
Li 2.937 6.266 1.357
Li 2.435 1.484 0.676
Li 0.393 4.880 0.889
Li 2.234 5.915 4.248
Li 2.736 10.697 4.930
Li 4.778 7.302 4.717
In 0.000 0.000 0.000
Ag 2.398 3.706 2.500
Ag 5.398 5.356 0.179
Ag 5.314 7.690 1.918
Ag 2.773 8.475 3.105
Ag -0.227 6.825 5.427
Ag -0.143 4.491 3.687



5.
8
Lattice="-0.873 -4.860 -0.425 4.562 -0.658 -1.822 0.545 1.776 7.462" Properties=species:S:1:pos:R:3 comment="GGA-PBE LiSc3Hg4, optimized geometry" e_tot_ev_per_atom=-3.1838 ef_ev_per_atom=-0.42 pbc="T T T"
Sc 2.281 -0.329 -0.911
Sc 0.741 -2.914 2.910
Sc 3.493 -0.827 2.305
Hg 1.810 -0.744 4.799
Hg 2.424 -2.998 0.416
Hg 0.581 -0.238 1.540
Hg 3.653 -3.504 3.675
Li -0.437 -2.430 -0.213



6.
8
Lattice="-2.626 0.919 -4.585 5.102 -1.654 0.051 -1.105 -4.244 3.087" Properties=species:S:1:pos:R:3 comment="GGA-PBE Na2BeSbO4, optimized geometry" raw_formation_energy_ev_per_atom=-1.6873 e_tot_ev_per_atom=-5.4772 pbc="T T T"
Na 2.237 -1.842 -1.482
Na 0.000 0.000 0.000
Be 1.998 -2.949 1.569
Sb -0.867 -3.137 0.036
O -0.096 -1.966 -1.418
O 0.316 -2.897 1.656
O 0.162 -0.767 -3.803
O 2.357 -4.330 0.672